First-principles (PBE with a Hubbard U) data for a relaxed ZnMoNF2 crystal, as listed in the Alexandria database.

Unit cell a=4.2379 b=4.2379 c=4.0485 alpha=90.00 beta=90.00 gamma=90.00
Positions (direct):
Mo1 0.0000 0.0000 0.0000
Zn1 0.5000 0.5000 0.5000
F1 0.0000 0.5000 0.0000
F2 0.5000 0.0000 0.0000
N1 0.0000 0.0000 0.5000

Output
Its space group is P4/mmm. The total magnetization comes out at 0.403 μB/atom. As for the energy above the most stable polymorph in this dataset: 0 meV/atom.